i | FeHg2H | PBE-GGA | optimized geometry

Cell and atoms, written as POSCAR:
```
FeHg2H
1.0
6.474 0.000 0.000
0.000 6.474 0.000
3.237 3.237 3.146
H Fe Hg
2 2 4
direct
0.500 0.500 0.000
0.250 0.750 0.500
0.000 0.000 0.000
0.750 0.250 0.500
0.562 0.125 0.250
0.188 0.625 0.250
0.875 0.812 0.750
0.375 0.438 0.750
```

=====

ii | FeHg2H | PBE-GGA | optimized geometry

Cell and atoms, written as POSCAR:
```
FeHg2H
1.0
0.000 3.210 3.210
3.210 0.000 3.210
3.210 3.210 0.000
Hg Fe H
2 1 1
direct
0.750 0.750 0.750
0.250 0.250 0.250
0.500 0.500 0.500
0.000 0.000 0.000
```

=====

Name the most stable of them. i.

=====

i | FeHgH3 | PBE-GGA | optimized geometry

Cell and atoms, written as POSCAR:
```
FeHgH3
1.0
-0.104 3.614 1.127
0.495 -1.105 3.589
3.753 0.246 -0.442
Fe H Hg
1 3 1
direct
0.500 0.500 0.500
0.500 0.000 0.000
0.000 0.000 0.500
0.000 0.500 0.000
0.000 0.000 0.000
```

=====

ii | FeHgH3 | PBE-GGA | optimized geometry

Cell and atoms, written as POSCAR:
```
FeHgH3
1.0
3.438 0.000 0.000
0.000 3.438 0.000
0.000 0.000 3.438
H Hg Fe
3 1 1
direct
0.000 0.500 0.000
0.000 0.000 0.500
0.500 0.000 0.000
0.500 0.500 0.500
0.000 0.000 0.000
```

=====

Name the most stable of them. ii.

=====

i | FeHgH2 | PBE-GGA | optimized geometry

Cell and atoms, written as POSCAR:
```
FeHgH2
1.0
-3.663 0.737 1.083
-2.548 1.401 -2.585
-2.899 -2.251 -1.289
Fe Hg H
1 1 2
direct
0.000 0.000 0.000
0.500 0.500 0.500
0.250 0.250 0.250
0.750 0.750 0.750
```

=====

ii | FeHgH2 | PBE-GGA | optimized geometry

Cell and atoms, written as POSCAR:
```
FeHgH2
1.0
-1.610 -1.643 3.687
2.996 -3.147 -0.094
3.461 0.169 4.148
Hg H Fe
2 4 2
direct
0.000 0.000 0.000
0.750 0.250 0.500
0.287 0.625 0.250
0.875 0.713 0.750
0.375 0.537 0.750
0.463 0.125 0.250
0.250 0.750 0.500
0.500 0.500 0.000
```

=====

Name the most stable of them. ii.

=====

i | FeH2I2 | PBE-GGA | optimized geometry

Cell and atoms, written as POSCAR:
```
FeH2I2
1.0
3.955 -0.913 -0.407
-0.984 3.937 -0.407
0.467 0.476 14.909
I Fe H
4 2 4
direct
0.692 0.692 0.385
0.558 0.058 0.115
0.308 0.308 0.615
0.942 0.442 0.885
0.500 0.500 0.000
0.750 0.250 0.500
0.051 0.551 0.102
0.449 0.949 0.898
0.801 0.801 0.602
0.199 0.199 0.398
```

=====

ii | FeH2I2 | PBE-GGA | optimized geometry

Cell and atoms, written as POSCAR:
```
FeH2I2
1.0
-4.911 -1.131 -5.773
-3.139 -5.856 3.818
-2.660 2.573 1.758
H I Fe
4 4 2
direct
0.189 0.689 0.500
0.811 0.311 0.500
0.689 0.811 0.500
0.311 0.189 0.500
0.813 0.313 0.000
0.687 0.813 0.000
0.187 0.687 0.000
0.313 0.187 0.000
0.500 0.500 0.000
0.000 0.000 0.000
```

=====

Name the most stable of them. i.

=====

i | Fe2HI | PBE-GGA | optimized geometry

Cell and atoms, written as POSCAR:
```
Fe2HI
1.0
-2.322 3.109 -2.830
-0.487 -3.410 -3.346
-5.885 -1.579 -0.981
I H Fe
2 2 4
direct
0.750 0.250 0.500
0.000 0.000 0.000
0.250 0.750 0.500
0.500 0.500 0.000
0.375 0.560 0.750
0.875 0.690 0.750
0.440 0.125 0.250
0.310 0.625 0.250
```

=====

ii | Fe2HI | PBE-GGA | optimized geometry

Cell and atoms, written as POSCAR:
```
Fe2HI
1.0
0.000 2.877 2.877
2.877 0.000 2.877
2.877 2.877 0.000
Fe I H
2 1 1
direct
0.750 0.750 0.750
0.250 0.250 0.250
0.500 0.500 0.500
0.000 0.000 0.000
```

=====

Name the most stable of them. i.

=====

i | FeH3I | PBE-GGA | optimized geometry

Cell and atoms, written as POSCAR:
```
FeH3I
1.0
-1.187 2.131 -2.837
1.571 -2.366 -2.435
-3.181 -1.964 -0.145
Fe H I
1 3 1
direct
0.000 0.000 0.000
0.000 0.500 0.000
0.500 0.000 0.000
0.000 0.000 0.500
0.500 0.500 0.500
```

=====

ii | FeH3I | PBE-GGA | optimized geometry

Cell and atoms, written as POSCAR:
```
FeH3I
1.0
-3.434 -0.980 2.082
2.169 -2.629 2.339
0.770 3.036 2.698
H Fe I
3 1 1
direct
0.000 0.500 0.000
0.500 0.000 0.000
0.000 0.000 0.500
0.500 0.500 0.500
0.000 0.000 0.000
```

=====

Name the most stable of them. i.

=====

i | FeHIN2 | PBE-GGA | optimized geometry

Cell and atoms, written as POSCAR:
```
FeHIN2
1.0
3.520 0.000 0.000
0.000 3.520 0.000
0.000 0.000 5.686
N I H Fe
2 1 1 1
direct
0.500 0.000 0.000
0.000 0.500 0.000
0.000 0.000 0.500
0.500 0.500 0.500
0.000 0.000 0.000
```

=====

ii | FeHIN2 | PBE-GGA | optimized geometry

Cell and atoms, written as POSCAR:
```
FeHIN2
1.0
-1.217 2.479 -2.745
0.395 -2.438 -2.377
-3.672 -1.160 0.580
N I H Fe
2 1 1 1
direct
0.500 0.000 0.000
0.000 0.000 0.500
0.500 0.500 0.500
0.000 0.500 0.000
0.000 0.000 0.000
```

=====

Name the most stable of them. i.

=====

i | FeSbHI2 | PBE-GGA | optimized geometry

Cell and atoms, written as POSCAR:
```
FeSbHI2
1.0
6.048 0.000 0.000
0.000 3.969 0.000
0.000 0.000 6.048
I Fe H Sb
2 1 1 1
direct
0.500 0.000 0.000
0.000 0.000 0.500
0.500 0.500 0.500
0.000 0.500 0.000
0.000 0.000 0.000
```

=====

ii | FeSbHI2 | PBE-GGA | optimized geometry

Cell and atoms, written as POSCAR:
```
FeSbHI2
1.0
-2.854 3.011 3.660
-4.656 -0.984 -2.822
-0.619 -3.175 2.129
Fe H I Sb
1 1 2 1
direct
0.500 0.500 0.500
0.000 0.000 0.000
0.500 0.000 0.000
0.000 0.500 0.000
0.000 0.000 0.500
```

=====

Name the most stable of them. i.

=====

i | InFe2H | PBE-GGA | optimized geometry

Cell and atoms, written as POSCAR:
```
InFe2H
1.0
2.329 -1.630 3.169
-1.232 -3.598 1.914
2.200 -3.594 -0.606
In Fe H
1 2 1
direct
0.500 0.500 0.500
0.250 0.250 0.250
0.750 0.750 0.750
0.000 0.000 0.000
```

=====

ii | InFe2H | PBE-GGA | optimized geometry

Cell and atoms, written as POSCAR:
```
InFe2H
1.0
-1.814 -3.786 -3.119
-0.234 -3.255 4.087
-4.485 -2.421 1.162
H In Fe
2 2 4
direct
0.500 0.500 0.000
0.250 0.750 0.500
0.750 0.250 0.500
0.000 0.000 0.000
0.375 0.625 0.750
0.875 0.625 0.750
0.375 0.125 0.250
0.375 0.625 0.250
```

=====

Name the most stable of them. ii.

=====

i | In3FeH | PBE-GGA | optimized geometry

Cell and atoms, written as POSCAR:
```
In3FeH
1.0
-3.252 1.675 3.387
-3.536 -2.924 -1.950
1.331 -3.674 3.095
Fe In H
1 3 1
direct
0.000 0.000 0.000
0.500 0.000 0.000
0.000 0.000 0.500
0.000 0.500 0.000
0.500 0.500 0.500
```

=====

ii | In3FeH | PBE-GGA | optimized geometry

Cell and atoms, written as POSCAR:
```
In3FeH
1.0
4.403 0.000 0.000
0.000 4.403 0.000
0.000 0.000 4.403
In Fe H
3 1 1
direct
0.000 0.000 0.500
0.500 0.000 0.000
0.000 0.500 0.000
0.500 0.500 0.500
0.000 0.000 0.000
```

=====

Name the most stable of them. i.

=====

i | InFeH2 | PBE-GGA | optimized geometry

Cell and atoms, written as POSCAR:
```
InFeH2
1.0
4.059 0.000 0.000
0.000 4.059 0.000
2.029 2.029 4.789
In H Fe
2 4 2
direct
0.000 0.000 0.000
0.750 0.250 0.500
0.375 0.574 0.750
0.324 0.625 0.250
0.875 0.676 0.750
0.426 0.125 0.250
0.500 0.500 0.000
0.250 0.750 0.500
```

=====

ii | InFeH2 | PBE-GGA | optimized geometry

Cell and atoms, written as POSCAR:
```
InFeH2
1.0
0.000 2.766 2.766
2.766 0.000 2.766
2.766 2.766 0.000
H In Fe
2 1 1
direct
0.250 0.250 0.250
0.750 0.750 0.750
0.500 0.500 0.500
0.000 0.000 0.000
```

=====

Name the most stable of them. i.

=====

i | FeH2Ir | PBE-GGA | optimized geometry

Cell and atoms, written as POSCAR:
```
FeH2Ir
1.0
2.714 0.000 0.000
1.357 2.350 0.000
1.357 0.783 4.770
H Ir Fe
2 1 1
direct
0.051 0.051 0.848
0.282 0.282 0.154
0.495 0.495 0.516
0.673 0.673 0.982
```

=====

ii | FeH2Ir | PBE-GGA | optimized geometry

Cell and atoms, written as POSCAR:
```
FeH2Ir
1.0
2.778 0.000 0.000
1.389 2.406 0.000
1.389 0.802 4.859
Ir Fe H
1 1 2
direct
0.000 0.000 0.000
0.500 0.500 0.500
0.881 0.881 0.357
0.119 0.119 0.643
```

=====

iii | FeH2Ir | PBE-GGA | optimized geometry

Cell and atoms, written as POSCAR:
```
FeH2Ir
1.0
4.077 0.000 0.000
0.000 4.077 0.000
2.039 2.039 4.053
H Fe Ir
4 2 2
direct
0.875 0.865 0.750
0.615 0.125 0.250
0.135 0.625 0.250
0.375 0.385 0.750
0.500 0.500 0.000
0.250 0.750 0.500
0.750 0.250 0.500
0.000 0.000 0.000
```

=====

iv | FeH2Ir | PBE-GGA | optimized geometry

Cell and atoms, written as POSCAR:
```
FeH2Ir
1.0
-0.652 -3.000 1.941
-3.140 -0.358 1.790
-2.478 -2.399 -1.141
H Fe Ir
2 1 1
direct
0.250 0.250 0.250
0.750 0.750 0.750
0.000 0.000 0.000
0.500 0.500 0.500
```

=====

Name the most stable of them. ii.

=====

i | Fe2HIr | PBE-GGA | optimized geometry

Cell and atoms, written as POSCAR:
```
Fe2HIr
1.0
-1.192 2.257 -0.792
-2.444 0.606 0.896
1.421 4.115 5.078
Fe Ir H
2 1 1
direct
0.724 0.724 0.828
0.276 0.276 0.172
0.500 0.500 0.500
0.000 0.000 0.000
```

=====

ii | Fe2HIr | PBE-GGA | optimized geometry

Cell and atoms, written as POSCAR:
```
Fe2HIr
1.0
2.394 1.357 2.817
0.889 3.834 0.150
-1.442 2.244 2.898
Fe Ir H
2 1 1
direct
0.250 0.250 0.250
0.750 0.750 0.750
0.500 0.500 0.500
0.000 0.000 0.000
```

=====

Name the most stable of them. i.